Tm3Al4Cu2 GGA-PBE optimized geometry; DOS(E_F) = 4.606 states/eV per cell; E_tot = -4.504 eV per atom; DFT formation energy = -3.96 eV/f.u.
1.0
-4.002 1.824 -0.522
2.589 -1.097 -4.896
-3.557 -6.874 3.251
Tm Cu Al
3 2 4
Direct
0.000 0.000 0.000
0.675 0.351 0.651
0.325 0.649 0.349
0.406 0.813 0.735
0.594 0.187 0.265
0.970 0.940 0.638
0.270 0.540 0.926
0.030 0.060 0.362
0.730 0.460 0.074


TmAl2Cu4 GGA-PBE optimized geometry; DOS(E_F) = 3.452 states/eV per cell; E_tot = -4.395 eV per atom; DFT formation energy = -2.42 eV/f.u.
1.0
-0.599 -5.060 0.326
2.097 -3.057 -3.624
3.487 -2.821 2.600
Al Cu Tm
2 4 1
Direct
0.250 0.500 0.500
0.750 0.500 0.500
0.692 0.617 0.000
0.308 0.383 0.000
0.692 0.000 0.617
0.308 0.000 0.383
0.000 0.000 0.000


Tm4Al3Cu GGA-PBE optimized geometry; DOS(E_F) = 3.602 states/eV per cell; E_tot = -4.515 eV per atom; DFT formation energy = -2.91 eV/f.u.
1.0
3.381 0.000 0.000
0.000 3.381 0.000
0.000 0.000 15.309
Cu Tm Al
1 4 3
Direct
0.500 0.500 0.000
0.000 0.000 0.371
0.000 0.000 0.629
0.000 0.000 0.113
0.000 0.000 0.887
0.500 0.500 0.759
0.500 0.500 0.500
0.500 0.500 0.241


TmAl2Cu GGA-PBE optimized geometry; DOS(E_F) = 11.196 states/eV per cell; E_tot = -4.448 eV per atom; DFT formation energy = -1.74 eV/f.u.
1.0
-4.728 -0.498 -2.625
-2.256 -4.174 4.855
-5.628 12.153 7.833
Al Cu Tm
16 8 8
Direct
0.740 0.948 0.033
0.539 0.445 0.716
0.760 0.552 0.533
0.740 0.552 0.033
0.240 0.448 0.467
0.961 0.055 0.216
0.539 0.055 0.716
0.461 0.555 0.284
0.240 0.052 0.467
0.039 0.945 0.784
0.260 0.448 0.967
0.260 0.052 0.967
0.760 0.948 0.533
0.461 0.945 0.284
0.039 0.555 0.784
0.961 0.445 0.216
0.488 0.750 0.427
0.775 0.750 0.673
0.225 0.250 0.327
0.512 0.250 0.573
0.725 0.750 0.173
0.012 0.750 0.927
0.275 0.250 0.827
0.988 0.250 0.073
0.264 0.750 0.610
0.471 0.250 0.144
0.236 0.750 0.110
0.764 0.250 0.890
0.971 0.750 0.356
0.736 0.250 0.390
0.029 0.250 0.644
0.529 0.750 0.856


TmAl2Cu4 GGA-PBE optimized geometry; DOS(E_F) = 3.799 states/eV per cell; E_tot = -3.812 eV per atom; DFT formation energy = 1.66 eV/f.u.
1.0
-2.427 -0.036 5.216
-2.809 -0.603 -4.984
3.247 -4.747 0.142
Tm Cu Al
1 4 2
Direct
0.000 0.000 0.000
0.274 0.500 0.774
0.726 0.500 0.226
0.500 0.726 0.226
0.500 0.274 0.774
0.750 0.250 0.500
0.250 0.750 0.500


Tm2Al5Cu5 GGA-PBE optimized geometry; DOS(E_F) = 2.690 states/eV per cell; E_tot = -4.437 eV per atom; DFT formation energy = -5.10 eV/f.u.
1.0
4.110 0.000 0.000
0.000 5.251 0.000
0.000 0.000 8.948
Al Cu Tm
5 5 2
Direct
0.500 0.751 0.239
0.500 0.249 0.239
0.500 0.249 0.761
0.500 0.751 0.761
0.500 0.500 0.500
0.000 0.500 0.333
0.500 0.000 0.000
0.000 0.000 0.166
0.000 0.500 0.667
0.000 0.000 0.834
0.000 0.000 0.500
0.000 0.500 0.000


Which formula does entry 6 have?
Tm2Al5Cu5